VASP calculation (PBE-GGA) on a geometry-optimized LiThHgPd structure.

Crystal system   cubic
Fermi-level density of states   0.5983 states/eV/atom
Energy of formation from the pure elements   -0.387 eV/atom

a b c (Å): 5.0175 5.0175 5.0175
angles (deg): 60.00 60.00 60.00
Last column: nearest neighbours and their distance in Å.
Fractional positions:
Th (0.5000, 0.5000, 0.5000)  4 Hg 3.07, 4 Pd 3.07
Li (0.0000, 0.0000, 0.0000)  4 Pd 3.07, 4 Hg 3.07
Pd (0.2500, 0.2500, 0.2500)  4 Th 3.07, 4 Li 3.07
Hg (0.7500, 0.7500, 0.7500)  4 Th 3.07, 4 Li 3.07

=====

VASP calculation (PBE-GGA) on a geometry-optimized Sr2CeAgSe4 structure.

Formation energy (no corrections)   -1548 meV per atom
Crystal system   monoclinic
Fermi-level density of states   0.7153 states/eV/atom

a b c (Å): 4.3673 7.4445 7.5044
angles (deg): 110.07 90.00 90.00
Last column: nearest neighbours and their distance in Å.
Fractional positions:
Se (0.0000, 0.7408, 0.2401)  2 Ce 3.00, 1 Ag 3.06, 3 Sr 3.07-3.12
Se (0.0000, 0.2592, 0.7599)  2 Ce 3.00, 1 Ag 3.06, 3 Sr 3.07-3.12
Ag (0.0000, 0.0000, 0.0000)  6 Se 3.00-3.06
Se (0.5000, 0.7531, 0.7678)  1 Ce 2.97, 2 Ag 3.00, 3 Sr 3.12-3.16
Ce (0.5000, 0.5000, 0.0000)  6 Se 2.97-3.00
Se (0.5000, 0.2469, 0.2322)  1 Ce 2.97, 2 Ag 3.00, 3 Sr 3.12-3.16
Sr (0.0000, 0.5000, 0.5000)  6 Se 3.07-3.12
Sr (0.5000, 0.0000, 0.5000)  6 Se 3.12-3.16

=====

VASP calculation (PBE-GGA) on a geometry-optimized CoBr structure.

Formation energy (no corrections)   313 meV per atom
Crystal system   orthorhombic
Fermi-level density of states   1.1833 states/eV/atom

a b c (Å): 8.0996 8.0996 8.0996
angles (deg): 155.71 154.66 35.39
Last column: nearest neighbours and their distance in Å.
Fractional positions:
Co (0.4235, 0.4235, 0.0000)  2 Co 2.27
Br (0.7586, 0.2586, 0.5000)  4 Co 2.68
Co (0.3265, 0.8265, 0.5000)  2 Co 2.27
Br (0.9914, 0.9914, 0.0000)  4 Co 2.68